1.
# Si3Ni (GGA-PBE, optimized geometry)
# **Mass density**: 4.42 Mg/m³
# **Formation energy from raw total energies**: 0.07 eV per atom
data_Si3Ni
_cell_length_a 2.9752
_cell_length_b 2.9752
_cell_length_c 21.0349
_cell_angle_alpha 90.00
_cell_angle_beta 90.00
_cell_angle_gamma 120.00
_space_group_name_H-M_alt 'R -3 m'
_space_group_IT_number 166
_space_group_name_Hall '-R 3 2"'
loop_
_atom_site_label
_atom_site_type_symbol
_atom_site_fract_x
_atom_site_fract_y
_atom_site_fract_z
Si1 Si 0.0000 0.0000 0.0000
Si2 Si 0.0000 0.0000 0.2448
Ni1 Ni 0.0000 0.0000 0.5000


2.
# SrTaAg (GGA-PBE, optimized geometry)
# **Mass density**: 8.26 Mg/m³
# **Energy of formation from the pure elements**: 0.230 eV/atom
data_SrTaAg
_cell_length_a 3.5596
_cell_length_b 3.5596
_cell_length_c 11.9428
_cell_angle_alpha 90.00
_cell_angle_beta 90.00
_cell_angle_gamma 90.00
_space_group_name_H-M_alt 'P 4 m m'
_space_group_IT_number 99
loop_
_space_group_symop_operation_xyz
'x,y,z'
'-y,x,z'
'-x,-y,z'
'y,-x,z'
'-x,y,z'
'y,x,z'
'x,-y,z'
'-y,-x,z'
loop_
_atom_site_label
_atom_site_type_symbol
_atom_site_fract_x
_atom_site_fract_y
_atom_site_fract_z
Sr1 Sr 0.0000 0.0000 0.0000
Sr2 Sr 0.0000 0.0000 0.3676
Ta1 Ta 0.0000 0.0000 0.6704
Ta2 Ta 0.5000 0.5000 0.5715
Ag1 Ag 0.5000 0.5000 0.1835
Ag2 Ag 0.5000 0.5000 0.8157


3.
# Pm12AgHg6 (GGA-PBE, optimized geometry)
# **Mass density**: 7.70 Mg/m³
# **Energy of formation from the pure elements**: -0.047 eV/atom
data_Pm12AgHg6
_cell_length_a 13.6375
_cell_length_b 13.6375
_cell_length_c 12.2505
_cell_angle_alpha 90.00
_cell_angle_beta 90.00
_cell_angle_gamma 120.00
_space_group_name_H-M_alt 'R -3'
_space_group_IT_number 148
_space_group_name_Hall '-R 3'
loop_
_atom_site_label
_atom_site_type_symbol
_atom_site_fract_x
_atom_site_fract_y
_atom_site_fract_z
Pm1 Pm 0.0327 0.8252 0.3907
Pm2 Pm 0.0504 0.8401 0.8867
Ag1 Ag 0.0000 0.0000 0.0000
Hg1 Hg 0.0480 0.7783 0.6428


4.
# SbAs2Se (GGA-PBE, optimized geometry)
# **Mass density**: 6.23 Mg/m³
# **Formation energy from raw total energies**: 0.09 eV per atom
data_SbAs2Se
_cell_length_a 4.0067
_cell_length_b 4.0067
_cell_length_c 20.1526
_cell_angle_alpha 90.00
_cell_angle_beta 90.00
_cell_angle_gamma 120.00
_space_group_name_H-M_alt 'R -3 m'
_space_group_IT_number 166
_space_group_name_Hall '-R 3 2"'
loop_
_atom_site_label
_atom_site_type_symbol
_atom_site_fract_x
_atom_site_fract_y
_atom_site_fract_z
Sb1 Sb 0.0000 0.0000 0.0000
As1 As 0.0000 0.0000 0.2488
Se1 Se 0.0000 0.0000 0.5000


5.
# ThP3Rh5 (GGA-PBE, optimized geometry)
# **Mass density**: 9.69 Mg/m³
# **Energy of formation from the pure elements**: -0.853 eV/atom
data_ThP3Rh5
_cell_length_a 3.8803
_cell_length_b 12.0792
_cell_length_c 12.2810
_cell_angle_alpha 90.00
_cell_angle_beta 90.00
_cell_angle_gamma 90.00
_space_group_name_H-M_alt 'C m c m'
_space_group_IT_number 63
_space_group_name_Hall '-C 2c 2'
loop_
_atom_site_label
_atom_site_type_symbol
_atom_site_fract_x
_atom_site_fract_y
_atom_site_fract_z
Th1 Th 0.0000 0.1514 0.2500
P1 P 0.0000 0.1162 0.7500
P2 P 0.0000 0.3903 0.5449
Rh1 Rh 0.0000 0.0000 0.0000
Rh2 Rh 0.0000 0.2119 0.5806
Rh3 Rh 0.0000 0.4413 0.1418


6.
# ReAu3 (GGA-PBE, optimized geometry)
# **Mass density**: 18.61 Mg/m³
# **Energy of formation from the pure elements**: 0.757 eV/atom
data_ReAu3
_cell_length_a 4.1085
_cell_length_b 4.1085
_cell_length_c 4.1085
_cell_angle_alpha 90.00
_cell_angle_beta 90.00
_cell_angle_gamma 90.00
_space_group_name_H-M_alt 'P m -3 m'
_space_group_IT_number 221
_space_group_name_Hall '-P 4 2 3'
loop_
_atom_site_label
_atom_site_type_symbol
_atom_site_fract_x
_atom_site_fract_y
_atom_site_fract_z
Re1 Re 0.0000 0.0000 0.0000
Au1 Au 0.0000 0.5000 0.5000


7.
# NaNiBPt2 (GGA-PBE, optimized geometry)
# **Mass density**: 11.37 Mg/m³
# **Energy of formation from the pure elements**: -0.214 eV/atom
data_NaNiBPt2
_cell_length_a 4.1923
_cell_length_b 4.1923
_cell_length_c 4.0112
_cell_angle_alpha 90.00
_cell_angle_beta 90.00
_cell_angle_gamma 90.00
_space_group_name_H-M_alt 'P 4/m m m'
_space_group_IT_number 123
_space_group_name_Hall '-P 4 2'
loop_
_atom_site_label
_atom_site_type_symbol
_atom_site_fract_x
_atom_site_fract_y
_atom_site_fract_z
Na1 Na 0.0000 0.0000 0.0000
Ni1 Ni 0.5000 0.5000 0.0000
B1 B 0.5000 0.5000 0.5000
Pt1 Pt 0.0000 0.5000 0.5000


8.
# U2Ir9Ru (GGA-PBE, optimized geometry)
# **Mass density**: 20.08 Mg/m³
# **Energy of formation from the pure elements**: -0.354 eV/atom
data_U2Ir9Ru
_cell_length_a 3.9928
_cell_length_b 3.9928
_cell_length_c 11.9647
_cell_angle_alpha 90.00
_cell_angle_beta 90.00
_cell_angle_gamma 90.00
_space_group_name_H-M_alt 'P 4/m m m'
_space_group_IT_number 123
_space_group_name_Hall '-P 4 2'
loop_
_atom_site_label
_atom_site_type_symbol
_atom_site_fract_x
_atom_site_fract_y
_atom_site_fract_z
U1 U 0.0000 0.0000 0.1720
Ir1 Ir 0.0000 0.5000 0.0000
Ir2 Ir 0.0000 0.5000 0.3417
Ir3 Ir 0.5000 0.5000 0.1704
Ir4 Ir 0.5000 0.5000 0.5000
Ru1 Ru 0.0000 0.0000 0.5000


9.
# CeGdPt (GGA-PBE, optimized geometry)
# **Mass density**: 9.61 Mg/m³
# **Energy of formation from the pure elements**: -0.662 eV/atom
data_CeGdPt
_cell_length_a 6.9813
_cell_length_b 6.9813
_cell_length_c 6.9813
_cell_angle_alpha 90.00
_cell_angle_beta 90.00
_cell_angle_gamma 90.00
_space_group_name_H-M_alt 'F -4 3 m'
_space_group_IT_number 216
_space_group_name_Hall 'F -4 2 3'
loop_
_atom_site_label
_atom_site_type_symbol
_atom_site_fract_x
_atom_site_fract_y
_atom_site_fract_z
Ce1 Ce 0.0000 0.0000 0.0000
Gd1 Gd 0.0000 0.0000 0.5000
Pt1 Pt 0.2500 0.2500 0.7500


10.
# MgAgIr2Pt (GGA-PBE, optimized geometry)
# **Mass density**: 12.44 Mg/m³
# **Energy of formation from the pure elements**: 1.417 eV/atom
data_MgAgIr2Pt
_cell_length_a 4.5599
_cell_length_b 4.5599
_cell_length_c 4.5689
_cell_angle_alpha 90.00
_cell_angle_beta 90.00
_cell_angle_gamma 90.00
_space_group_name_H-M_alt 'P 4/m m m'
_space_group_IT_number 123
_space_group_name_Hall '-P 4 2'
loop_
_atom_site_label
_atom_site_type_symbol
_atom_site_fract_x
_atom_site_fract_y
_atom_site_fract_z
Mg1 Mg 0.0000 0.0000 0.0000
Ag1 Ag 0.5000 0.5000 0.5000
Ir1 Ir 0.0000 0.5000 0.0000
Pt1 Pt 0.0000 0.0000 0.5000